Record 1
Below is TaCrP2 after structural relaxation, with properties calculated at the PBE-GGA level.

Cell and atoms, written as POSCAR:
```
TaCrP2
1.0
3.183 0.000 0.000
0.000 3.370 0.000
-0.036 0.000 5.707
Ta Cr P
1 1 2
Cartesian
0.000 0.000 0.000 Ta
1.573 0.000 2.853 Cr
1.552 1.685 4.459 P
1.594 1.685 1.248 P
```

Its total moment is 2.6 μB/f.u. The formation energy comes out at -253 meV per atom. The calculation puts the total energy at -33.307 eV per formula unit. For the energy above the most stable polymorph in this dataset, the calculation gives 391 meV per atom.

---

Record 2
Below is CsTaO2F after structural relaxation, with properties calculated at the PBE-GGA level.

Cell and atoms, written as POSCAR:
```
CsTaO2F
1.0
4.516 0.000 0.000
0.000 4.516 0.000
0.000 0.000 5.053
Cs Ta O F
1 1 2 1
Cartesian
0.000 0.000 0.000 Cs
2.258 2.258 2.527 Ta
0.000 2.258 0.000 O
2.258 0.000 0.000 O
0.000 0.000 2.527 F
```

Its total moment is 3.0 μB/f.u. The calculation puts the total energy at -19.793 eV per formula unit. Its formation energy without anion corrections is 21.68 kcal/mol of atoms.

---

Record 3
Below is PaCd2Rh3 after structural relaxation, with properties calculated at the PBE-GGA level.

Cell and atoms, written as POSCAR:
```
PaCd2Rh3
1.0
4.527 0.000 0.000
0.000 13.244 0.000
0.000 0.000 3.623
Pa Cd Rh
2 4 6
Cartesian
0.000 0.000 0.000 Pa
2.264 6.622 0.000 Pa
0.000 4.285 0.000 Cd
0.000 8.959 0.000 Cd
2.264 2.337 0.000 Cd
2.264 10.907 0.000 Cd
0.000 1.991 1.812 Rh
0.000 6.622 1.812 Rh
0.000 11.253 1.812 Rh
2.264 0.000 1.812 Rh
2.264 4.631 1.812 Rh
2.264 8.613 1.812 Rh
```

Its total moment is 0.0 μB/f.u. The formation energy comes out at -584 meV per atom. The calculation puts the total energy at -36.882 eV per formula unit.

---

Record 4
Below is ScTaIr2 after structural relaxation, with properties calculated at the PBE-GGA level.

Cell and atoms, written as POSCAR:
```
ScTaIr2
1.0
4.297 0.000 0.000
0.000 4.297 0.000
0.000 0.000 3.582
Sc Ta Ir
1 1 2
Cartesian
0.000 0.000 0.000 Sc
2.148 2.148 0.000 Ta
0.000 2.148 1.791 Ir
2.148 0.000 1.791 Ir
```

Its total moment is 0.0 μB/f.u. The formation energy comes out at -667 meV per atom. The calculation puts the total energy at -38.573 eV per formula unit.

---

Record 5
Below is Ca3ErTh2As6 after structural relaxation, with properties calculated at the PBE-GGA level.

Cell and atoms, written as POSCAR:
```
Ca3ErTh2As6
1.0
3.682 -6.380 0.000
3.682 6.380 0.000
-2.456 0.000 6.901
Ca Er Th As
3 1 2 6
Cartesian
0.000 0.000 0.000 Ca
3.682 2.136 0.000 Ca
3.682 -2.136 0.000 Ca
2.454 0.000 3.450 Er
2.454 4.256 3.450 Th
2.454 -4.256 3.450 Th
1.244 2.100 1.796 As
0.030 0.000 5.111 As
1.244 -2.100 1.796 As
3.664 2.100 5.105 As
4.878 0.000 1.790 As
3.664 -2.100 5.105 As
```

Its total moment is 0.0 μB/f.u. The formation energy comes out at -1296 meV per atom. The calculation puts the total energy at -68.854 eV per formula unit.

---

Record 6
Below is NbPd2Rh after structural relaxation, with properties calculated at the PBE-GGA level.

Cell and atoms, written as POSCAR:
```
NbPd2Rh
1.0
3.894 0.000 0.000
0.000 3.894 0.000
0.000 0.000 8.143
Nb Pd Rh
2 4 2
Cartesian
0.000 0.000 0.000 Nb
1.947 1.947 4.072 Nb
0.000 1.947 2.036 Pd
0.000 1.947 6.108 Pd
1.947 0.000 2.036 Pd
1.947 0.000 6.108 Pd
0.000 0.000 4.072 Rh
1.947 1.947 0.000 Rh
```

Its total moment is 0.0 μB/f.u. The formation energy comes out at -399 meV per atom. The calculation puts the total energy at -29.403 eV per formula unit.

---

Record 7
Below is LiGdCd after structural relaxation, with properties calculated at the PBE-GGA level.

Cell and atoms, written as POSCAR:
```
LiGdCd
1.0
5.009 0.000 0.000
-2.505 4.338 0.000
0.000 0.000 3.256
Li Gd Cd
1 1 1
Cartesian
0.000 0.000 0.000 Li
0.000 2.892 1.628 Gd
2.505 1.446 0.000 Cd
```

Its total moment is 7.4 μB/f.u. The formation energy comes out at -184 meV per atom. The calculation puts the total energy at -17.462 eV per formula unit. For the energy above the most stable polymorph in this dataset, the calculation gives 0 meV per atom.

---

Record 8
Below is Nd8DyTl2 after structural relaxation, with properties calculated at the PBE-GGA level.

Cell and atoms, written as POSCAR:
```
Nd8DyTl2
1.0
4.526 -7.810 0.000
4.526 7.810 0.000
-2.524 0.000 5.287
Nd Dy Tl
8 1 2
Cartesian
0.308 1.761 3.261 Nd
4.526 4.393 0.000 Nd
0.308 -1.761 3.261 Nd
3.137 0.000 1.082 Nd
3.391 0.000 4.205 Nd
6.219 1.761 2.026 Nd
4.526 -4.393 0.000 Nd
6.219 -1.761 2.026 Nd
0.000 0.000 0.000 Dy
3.264 3.036 2.644 Tl
3.264 -3.036 2.644 Tl
```

Its total moment is 0.0 μB/f.u. The formation energy comes out at -30 meV per atom. The calculation puts the total energy at -47.812 eV per formula unit.